VASP calculation (PBE-GGA) on crystalline Au2C at its relaxed geometry.

Structure (POSCAR):
```
Au2C
1.0
-2.2546 3.9958 3.0194
-0.1610 1.2704 5.3410
2.9288 -1.4970 -4.3986
Au C
2 1
Direct
0.6427 0.6427 0.0000
0.3573 0.3573 0.0000
0.0000 0.0000 0.0000
```

Calculated values
D(E_F) ... 1.17 states/eV/cell
ΔE_f ... 1.607 eV per atom
Energy above the most stable polymorph in this dataset ... 756 meV per atom